# 1
# Pr3C2Br2 | Alexandria via LeMat-Bulk | PBE-GGA | optimized geometry
data_Pr3C2Br2
_chemical_formula_sum 'Pr3 C2 Br2'
_symmetry_space_group_name_H-M 'P 1'
_symmetry_Int_Tables_number 1
_cell_length_a 3.762
_cell_length_b 6.475
_cell_length_c 7.833
_cell_angle_alpha 99.44
_cell_angle_beta 92.22
_cell_angle_gamma 102.68
loop_
_symmetry_equiv_pos_as_xyz
'x,y,z'
loop_
_atom_site_label
_atom_site_fract_x
_atom_site_fract_y
_atom_site_fract_z
_atom_site_occupancy
Pr1 0.000 0.000 0.000 1
Pr2 0.208 0.445 0.791 1
Pr3 0.792 0.555 0.209 1
C1 0.358 0.722 0.057 1
C2 0.642 0.278 0.943 1
Br1 0.169 0.241 0.376 1
Br2 0.831 0.759 0.624 1
# Mass density: 5.5 g cm⁻³
# SG: P-1
# V: 183 Å³/cell
# E: -40.54 eV/cell

=====

# 2
# TiFe2HIr | Alexandria via LeMat-Bulk | PBE-GGA | optimized geometry
data_TiFe2HIr
_chemical_formula_sum 'Ti1 Fe2 H1 Ir1'
_symmetry_space_group_name_H-M 'P 1'
_symmetry_Int_Tables_number 1
_cell_length_a 3.765
_cell_length_b 3.765
_cell_length_c 3.884
_cell_angle_alpha 90.00
_cell_angle_beta 90.00
_cell_angle_gamma 90.00
loop_
_symmetry_equiv_pos_as_xyz
'x,y,z'
loop_
_atom_site_label
_atom_site_fract_x
_atom_site_fract_y
_atom_site_fract_z
_atom_site_occupancy
Ti1 0.000 0.000 0.000 1
Fe1 0.000 0.500 0.500 1
Fe2 0.500 0.000 0.500 1
H1 0.500 0.500 0.500 1
Ir1 0.500 0.500 0.000 1
# Mass density: 10.6 g cm⁻³
# SG: P4/mmm
# V: 55 Å³/cell
# Energy above the lowest structure with this stoichiometry: 0.043 eV per atom

=====

# 3
# PaCu2Pt4 | Alexandria via LeMat-Bulk | PBE-GGA | optimized geometry
data_PaCu2Pt4
_chemical_formula_sum 'Pa2 Cu4 Pt8'
_symmetry_space_group_name_H-M 'P 1'
_symmetry_Int_Tables_number 1
_cell_length_a 5.293
_cell_length_b 6.625
_cell_length_c 6.650
_cell_angle_alpha 90.00
_cell_angle_beta 90.00
_cell_angle_gamma 90.00
loop_
_symmetry_equiv_pos_as_xyz
'x,y,z'
loop_
_atom_site_label
_atom_site_fract_x
_atom_site_fract_y
_atom_site_fract_z
_atom_site_occupancy
Pa1 0.000 0.000 0.000 1
Pa2 0.500 0.500 0.500 1
Cu1 0.249 0.500 0.000 1
Cu2 0.251 0.000 0.500 1
Cu3 0.749 0.000 0.500 1
Cu4 0.751 0.500 0.000 1
Pt1 0.000 0.293 0.294 1
Pt2 0.000 0.293 0.706 1
Pt3 0.000 0.707 0.294 1
Pt4 0.000 0.707 0.706 1
Pt5 0.500 0.207 0.206 1
Pt6 0.500 0.207 0.794 1
Pt7 0.500 0.793 0.206 1
Pt8 0.500 0.793 0.794 1
# Mass density: 16.2 g cm⁻³
# SG: Immm
# V: 233 Å³/cell
# E: -91.62 eV/cell

=====

# 4
# Zr3Ti5Bi2 | Alexandria via LeMat-Bulk | PBE-GGA | optimized geometry
data_Zr3Ti5Bi2
_chemical_formula_sum 'Zr6 Ti10 Bi4'
_symmetry_space_group_name_H-M 'P 1'
_symmetry_Int_Tables_number 1
_cell_length_a 9.509
_cell_length_b 9.509
_cell_length_c 9.509
_cell_angle_alpha 111.70
_cell_angle_beta 78.57
_cell_angle_gamma 145.94
loop_
_symmetry_equiv_pos_as_xyz
'x,y,z'
loop_
_atom_site_label
_atom_site_fract_x
_atom_site_fract_y
_atom_site_fract_z
_atom_site_occupancy
Zr1 0.183 0.726 0.910 1
Zr2 0.250 0.250 0.000 1
Zr3 0.317 0.226 0.543 1
Zr4 0.683 0.774 0.457 1
Zr5 0.750 0.750 0.000 1
Zr6 0.817 0.274 0.090 1
Ti1 0.054 0.250 0.804 1
Ti2 0.157 0.455 0.613 1
Ti3 0.250 0.750 0.500 1
Ti4 0.343 0.955 0.298 1
Ti5 0.446 0.250 0.196 1
Ti6 0.554 0.750 0.804 1
Ti7 0.657 0.045 0.702 1
Ti8 0.750 0.250 0.500 1
Ti9 0.843 0.545 0.387 1
Ti10 0.946 0.750 0.196 1
Bi1 0.096 0.215 0.311 1
Bi2 0.404 0.715 0.118 1
Bi3 0.596 0.285 0.882 1
Bi4 0.904 0.785 0.689 1
# Mass density: 7.1 g cm⁻³
# SG: Ibam
# V: 438 Å³/cell
# E: -145.28 eV/cell

=====

# 5
# BaSr2LiAu | Alexandria via LeMat-Bulk | PBE-GGA | optimized geometry
data_BaSr2LiAu
_chemical_formula_sum 'Ba1 Sr2 Li1 Au1'
_symmetry_space_group_name_H-M 'P 1'
_symmetry_Int_Tables_number 1
_cell_length_a 6.177
_cell_length_b 6.177
_cell_length_c 5.477
_cell_angle_alpha 90.00
_cell_angle_beta 90.00
_cell_angle_gamma 90.00
loop_
_symmetry_equiv_pos_as_xyz
'x,y,z'
loop_
_atom_site_label
_atom_site_fract_x
_atom_site_fract_y
_atom_site_fract_z
_atom_site_occupancy
Ba1 0.000 0.000 0.000 1
Sr1 0.000 0.500 0.500 1
Sr2 0.500 0.000 0.500 1
Li1 0.500 0.500 0.000 1
Au1 0.500 0.500 0.500 1
# Mass density: 4.1 g cm⁻³
# SG: P4/mmm
# V: 209 Å³/cell
# Energy above the lowest structure with this stoichiometry: 0.025 eV per atom

=====

# 6
# Mg9Zn2Se | Alexandria via LeMat-Bulk | PBE-GGA | optimized geometry
data_Mg9Zn2Se
_chemical_formula_sum 'Mg9 Zn2 Se1'
_symmetry_space_group_name_H-M 'P 1'
_symmetry_Int_Tables_number 1
_cell_length_a 5.774
_cell_length_b 5.774
_cell_length_c 9.479
_cell_angle_alpha 94.28
_cell_angle_beta 94.28
_cell_angle_gamma 59.35
loop_
_symmetry_equiv_pos_as_xyz
'x,y,z'
loop_
_atom_site_label
_atom_site_fract_x
_atom_site_fract_y
_atom_site_fract_z
_atom_site_occupancy
Mg1 0.000 0.000 0.000 1
Mg2 0.023 0.519 0.161 1
Mg3 0.030 0.030 0.330 1
Mg4 0.262 0.262 0.562 1
Mg5 0.481 0.977 0.839 1
Mg6 0.519 0.023 0.161 1
Mg7 0.738 0.738 0.438 1
Mg8 0.970 0.970 0.670 1
Mg9 0.977 0.481 0.839 1
Zn1 0.478 0.478 0.818 1
Zn2 0.522 0.522 0.182 1
Se1 0.500 0.500 0.500 1
# Mass density: 2.6 g cm⁻³
# SG: C2/m
# V: 271 Å³/cell
# E: -20.30 eV/cell

=====

# 7
# CsUSbO6 | Alexandria via LeMat-Bulk | PBE-GGA | optimized geometry
data_CsUSbO6
_chemical_formula_sum 'Cs2 U2 Sb2 O12'
_symmetry_space_group_name_H-M 'P 1'
_symmetry_Int_Tables_number 1
_cell_length_a 7.703
_cell_length_b 7.703
_cell_length_c 7.703
_cell_angle_alpha 122.43
_cell_angle_beta 117.79
_cell_angle_gamma 89.86
loop_
_symmetry_equiv_pos_as_xyz
'x,y,z'
loop_
_atom_site_label
_atom_site_fract_x
_atom_site_fract_y
_atom_site_fract_z
_atom_site_occupancy
Cs1 0.363 0.113 0.250 1
Cs2 0.637 0.887 0.750 1
U1 0.000 0.500 0.500 1
U2 0.500 0.500 0.000 1
Sb1 0.000 0.000 0.500 1
Sb2 0.000 0.500 0.000 1
O1 0.056 0.431 0.236 1
O2 0.056 0.820 0.625 1
O3 0.067 0.817 0.250 1
O4 0.305 0.180 0.736 1
O5 0.305 0.569 0.125 1
O6 0.318 0.568 0.750 1
O7 0.682 0.432 0.250 1
O8 0.695 0.431 0.875 1
O9 0.695 0.820 0.264 1
O10 0.933 0.183 0.750 1
O11 0.944 0.180 0.375 1
O12 0.944 0.569 0.764 1
# Mass density: 6.1 g cm⁻³
# SG: Imma
# V: 322 Å³/cell
# E: -133.82 eV/cell

=====

# 8
# GaAgPtPb2 | Alexandria via LeMat-Bulk | PBE-GGA | optimized geometry
data_GaAgPtPb2
_chemical_formula_sum 'Ga2 Ag2 Pt2 Pb4'
_symmetry_space_group_name_H-M 'P 1'
_symmetry_Int_Tables_number 1
_cell_length_a 6.543
_cell_length_b 3.755
_cell_length_c 9.953
_cell_angle_alpha 90.00
_cell_angle_beta 102.26
_cell_angle_gamma 90.00
loop_
_symmetry_equiv_pos_as_xyz
'x,y,z'
loop_
_atom_site_label
_atom_site_fract_x
_atom_site_fract_y
_atom_site_fract_z
_atom_site_occupancy
Ga1 0.000 0.000 0.000 1
Ga2 0.500 0.500 0.000 1
Ag1 0.112 0.500 0.824 1
Ag2 0.612 0.000 0.824 1
Pt1 0.208 0.500 0.125 1
Pt2 0.708 0.000 0.125 1
Pb1 0.210 0.000 0.605 1
Pb2 0.439 0.000 0.323 1
Pb3 0.710 0.500 0.605 1
Pb4 0.939 0.500 0.323 1
# Mass density: 10.9 g cm⁻³
# SG: Cm
# V: 239 Å³/cell
# Energy above the lowest structure with this stoichiometry: 0.031 eV per atom

=====

# 9
# Al2CdBiW | Alexandria via LeMat-Bulk | PBE-GGA | optimized geometry
data_Al2CdBiW
_chemical_formula_sum 'Al2 Cd1 Bi1 W1'
_symmetry_space_group_name_H-M 'P 1'
_symmetry_Int_Tables_number 1
_cell_length_a 5.033
_cell_length_b 5.033
_cell_length_c 5.325
_cell_angle_alpha 90.00
_cell_angle_beta 90.00
_cell_angle_gamma 90.00
loop_
_symmetry_equiv_pos_as_xyz
'x,y,z'
loop_
_atom_site_label
_atom_site_fract_x
_atom_site_fract_y
_atom_site_fract_z
_atom_site_occupancy
Al1 0.000 0.500 0.000 1
Al2 0.500 0.000 0.000 1
Cd1 0.000 0.000 0.500 1
Bi1 0.500 0.500 0.500 1
W1 0.500 0.500 0.000 1
# Mass density: 6.9 g cm⁻³
# SG: P4/mmm
# V: 135 Å³/cell
# E: -22.15 eV/cell

=====

# 10
# TlAsRuI2 | Alexandria via LeMat-Bulk | PBE-GGA | optimized geometry
data_TlAsRuI2
_chemical_formula_sum 'Tl1 As1 Ru1 I2'
_symmetry_space_group_name_H-M 'P 1'
_symmetry_Int_Tables_number 1
_cell_length_a 6.227
_cell_length_b 6.227
_cell_length_c 5.341
_cell_angle_alpha 90.00
_cell_angle_beta 90.00
_cell_angle_gamma 90.00
loop_
_symmetry_equiv_pos_as_xyz
'x,y,z'
loop_
_atom_site_label
_atom_site_fract_x
_atom_site_fract_y
_atom_site_fract_z
_atom_site_occupancy
Tl1 0.000 0.000 0.000 1
As1 0.000 0.000 0.500 1
Ru1 0.500 0.500 0.500 1
I1 0.000 0.500 0.000 1
I2 0.500 0.000 0.000 1
# Mass density: 5.1 g cm⁻³
# SG: P4/mmm
# V: 207 Å³/cell
# E: -12.73 eV/cell

=====

Repeat the first record exactly.
# Pr3C2Br2 | Alexandria via LeMat-Bulk | PBE-GGA | optimized geometry
data_Pr3C2Br2
_chemical_formula_sum 'Pr3 C2 Br2'
_symmetry_space_group_name_H-M 'P 1'
_symmetry_Int_Tables_number 1
_cell_length_a 3.762
_cell_length_b 6.475
_cell_length_c 7.833
_cell_angle_alpha 99.44
_cell_angle_beta 92.22
_cell_angle_gamma 102.68
loop_
_symmetry_equiv_pos_as_xyz
'x,y,z'
loop_
_atom_site_label
_atom_site_fract_x
_atom_site_fract_y
_atom_site_fract_z
_atom_site_occupancy
Pr1 0.000 0.000 0.000 1
Pr2 0.208 0.445 0.791 1
Pr3 0.792 0.555 0.209 1
C1 0.358 0.722 0.057 1
C2 0.642 0.278 0.943 1
Br1 0.169 0.241 0.376 1
Br2 0.831 0.759 0.624 1
# Mass density: 5.5 g cm⁻³
# SG: P-1
# V: 183 Å³/cell
# E: -40.54 eV/cell